# AlTc6Mo

A relaxed structure of AlTc6Mo (PBE, the Open Quantum Materials Database).

- Symmetry: F-43m

Unit cell a=6.005 b=6.005 c=6.005 alpha=60.00 beta=60.00 gamma=60.00
Sites, in units of the cell vectors:
1 Al 0.000 0.000 0.000
2 Tc 0.040 0.040 0.460
3 Tc 0.040 0.460 0.040
4 Tc 0.040 0.460 0.460
5 Tc 0.460 0.040 0.040
6 Tc 0.460 0.040 0.460
7 Tc 0.460 0.460 0.040
8 Mo 0.750 0.750 0.750

---

# AlTe2Mo

A relaxed structure of AlTe2Mo (PBE, the Open Quantum Materials Database).

- Symmetry: F-43m

Unit cell a=4.907 b=4.907 c=4.907 alpha=60.00 beta=60.00 gamma=60.00
Sites, in units of the cell vectors:
1 Al 0.000 0.000 0.000
2 Te 0.500 0.500 0.500
3 Te 0.750 0.750 0.750
4 Mo 0.250 0.250 0.250

---

Ordered calculated total energy results: -8.609 -4.483; unit eV/atom.
Ordered calculated volume results: 19.1 20.9; unit A^3/atom.
Ordered total magnetic moment results: 0.00 0.01; unit μB/atom.